Entry from OQMD via LeMat-Bulk: NbZnCoNi after structural relaxation (PBE-GGA).

* DFT formation energy: 0.07 eV per atom
* DFT total energy: -5.943 eV per atom
* energy above the most stable polymorph in this dataset: 237 meV per atom

Unit cell a=4.226 b=4.226 c=4.226 alpha=60.00 beta=60.00 gamma=60.00
Fractional coordinates of all 4 atoms:
Nb 0.000 0.000 0.000
Zn 0.250 0.250 0.250
Co 0.500 0.500 0.500
Ni 0.750 0.750 0.750

Entry from OQMD via LeMat-Bulk: NbZnCoNi after structural relaxation (PBE-GGA).

* DFT formation energy: 0.03 eV per atom
* DFT total energy: -5.979 eV per atom
* energy above the most stable polymorph in this dataset: 201 meV per atom

Unit cell a=4.227 b=4.227 c=4.227 alpha=60.00 beta=60.00 gamma=60.00
Fractional coordinates of all 4 atoms:
Nb 0.000 0.000 0.000
Zn 0.250 0.250 0.250
Co 0.750 0.750 0.750
Ni 0.500 0.500 0.500

Please write out number 2 again, unchanged.
Entry from OQMD via LeMat-Bulk: NbZnCoNi after structural relaxation (PBE-GGA).

* DFT formation energy: 0.03 eV per atom
* DFT total energy: -5.979 eV per atom
* energy above the most stable polymorph in this dataset: 201 meV per atom

Unit cell a=4.227 b=4.227 c=4.227 alpha=60.00 beta=60.00 gamma=60.00
Fractional coordinates of all 4 atoms:
Nb 0.000 0.000 0.000
Zn 0.250 0.250 0.250
Co 0.750 0.750 0.750
Ni 0.500 0.500 0.500

Please write out number 2 again, unchanged.
Entry from OQMD via LeMat-Bulk: NbZnCoNi after structural relaxation (PBE-GGA).

* DFT formation energy: 0.03 eV per atom
* DFT total energy: -5.979 eV per atom
* energy above the most stable polymorph in this dataset: 201 meV per atom

Unit cell a=4.227 b=4.227 c=4.227 alpha=60.00 beta=60.00 gamma=60.00
Fractional coordinates of all 4 atoms:
Nb 0.000 0.000 0.000
Zn 0.250 0.250 0.250
Co 0.750 0.750 0.750
Ni 0.500 0.500 0.500